! TlCu3 GGA-PBE optimized geometry; values from VASP
&SYSTEM
  ibrav = 0, nat = 4, ntyp = 2
/
ATOMIC_SPECIES
Cu 63.55 Cu.upf
Tl 204.38 Tl.upf
ATOMIC_POSITIONS angstrom
Cu -4.062 8.458 6.051
Tl 0.000 0.000 0.000
Cu -1.940 4.038 2.889
Cu -6.185 12.877 9.213
CELL_PARAMETERS angstrom
-3.258 6.489 2.475
-3.855 4.464 4.906
-1.012 5.962 4.720
! - DFT total energy: -3.26 eV/atom

---

! KCaFeB2 GGA-PBE optimized geometry; values from VASP
&SYSTEM
  ibrav = 0, nat = 5, ntyp = 4
/
ATOMIC_SPECIES
K 39.10 K.upf
B 10.81 B.upf
Fe 55.84 Fe.upf
Ca 40.08 Ca.upf
ATOMIC_POSITIONS angstrom
K 0.000 0.000 0.000
B 2.427 0.000 0.000
Fe 0.000 2.211 0.000
B 0.000 0.000 2.427
Ca 2.427 2.211 2.427
CELL_PARAMETERS angstrom
4.855 0.000 0.000
0.000 4.421 0.000
0.000 0.000 4.855
! - DFT total energy: -2.40 eV/atom

---

! Cs2Hf2CuS6 GGA-PBE optimized geometry; values from VASP
&SYSTEM
  ibrav = 0, nat = 11, ntyp = 4
/
ATOMIC_SPECIES
S 32.06 S.upf
Cs 132.91 Cs.upf
Cu 63.55 Cu.upf
Hf 178.49 Hf.upf
ATOMIC_POSITIONS angstrom
S -5.047 2.853 1.084
S -4.941 -1.991 -0.363
Cs 0.090 -3.723 3.351
S -3.344 1.875 4.482
Cu -2.554 2.702 2.057
Cs -3.267 -1.796 -3.346
Hf -4.980 0.422 0.390
S -5.695 -0.511 2.708
Hf -3.305 -0.539 3.730
S -2.590 0.395 1.412
S -3.238 -2.969 3.036
CELL_PARAMETERS angstrom
-4.060 -1.341 -4.928
0.883 -4.178 4.933
-5.108 5.403 4.115
! - Formation energy (no corrections): -1207.2 meV/atom

---

These records have M_tot values of 0.00 0.27 1.05 μB per formula unit, in the order they appear.